1.
First-principles (GGA-PBE) data for a relaxed structure of Gd3MgTc, as listed in Alexandria.

Cell: 5.3737 5.3737 5.3737 Å, 90.00 90.00 90.00°
Last column: nearest neighbours and their distance in Å.
Atoms (fractional coordinates):
Tc  0.0000  0.0000  0.0000  6 Gd 2.69
Gd  0.5000  0.0000  0.0000  2 Tc 2.69
Gd  0.0000  0.5000  0.0000  2 Tc 2.69
Gd  0.0000  0.0000  0.5000  2 Tc 2.69
Mg  0.5000  0.5000  0.5000  12 Gd 3.80

- Energy relative to the elements: 0.0943 eV/atom
- Spin magnetization: 21.301 Bohr magnetons per cell
- Calculated density: 6.357 Mg/m³

***

2.
First-principles (GGA-PBE) data for a relaxed structure of TaTl2AgO, as listed in Alexandria.

Cell: 5.0531 4.0481 5.0531 Å, 90.00 90.00 90.00°
Last column: nearest neighbours and their distance in Å.
Atoms (fractional coordinates):
Ag  0.0000  0.5000  0.0000  2 O 2.02
O  0.0000  0.0000  0.0000  2 Ag 2.02
Ta  0.5000  0.5000  0.5000  8 Tl 3.24, 4 Ag 3.57
Tl  0.5000  0.0000  0.0000  2 O 2.53
Tl  0.0000  0.0000  0.5000  2 O 2.53

- E_form (uncorrected): 616 meV/atom
- Spin magnetization: 1.467 Bohr magnetons per cell
- Calculated density: 11.464 Mg/m³

***

These records have V values of 31.0, 20.7 A^3/atom, in the order they appear.